[1]
Crystalline Li4Y3Ga4 at its relaxed geometry, computed with GGA-PBE.

Unit cell a=3.4481 b=4.5856 c=14.5204 alpha=80.96 beta=83.13 gamma=90.00
Closest atoms and distances in Å follow each position.
Fractional coordinates of all 11 atoms:
Li 0.5921 0.0917 0.8162  3 Ga 2.58-2.62
Li 0.2576 0.2578 0.4845  4 Ga 2.75-2.86, 4 Li 2.90
Li 0.7424 0.7423 0.5155  4 Ga 2.75-2.86, 4 Li 2.90
Li 0.4079 0.9083 0.1838  3 Ga 2.58-2.62
Y 0.1421 0.6420 0.7151  6 Ga 3.08-3.21, 6 Li 3.21-3.32, 2 Y 3.45
Y 0.8580 0.3580 0.2849  6 Ga 3.08-3.21, 6 Li 3.21-3.32, 2 Y 3.45
Y 0.0000 0.0000 0.0000  4 Li 3.13, 8 Ga 3.17, 2 Y 3.45
Ga 0.5475 0.5474 0.9053  2 Li 2.62, 1 Ga 2.70
Ga 0.4526 0.4526 0.0947  2 Li 2.62, 1 Ga 2.70
Ga 0.3182 0.8178 0.3649  5 Li 2.58-2.86
Ga 0.6818 0.1822 0.6351  5 Li 2.58-2.86


[2]
Crystalline LiYGa2 at its relaxed geometry, computed with GGA-PBE.

Unit cell a=4.5434 b=4.5434 c=9.2711 alpha=75.82 beta=75.82 gamma=90.00
Closest atoms and distances in Å follow each position.
Fractional coordinates of all 8 atoms:
Y 0.0000 0.0000 0.0000  4 Ga 3.01, 4 Li 3.21
Y 0.7500 0.2500 0.5000  4 Ga 3.01, 4 Li 3.21
Ga 0.4904 0.1250 0.2500  2 Ga 2.50, 2 Li 2.51
Ga 0.2596 0.6250 0.2500  2 Ga 2.50, 2 Li 2.51
Ga 0.3750 0.5096 0.7500  2 Ga 2.50, 2 Li 2.51
Ga 0.8750 0.7404 0.7500  2 Ga 2.50, 2 Li 2.51
Li 0.5000 0.5000 0.0000  4 Ga 2.51
Li 0.2500 0.7500 0.5000  4 Ga 2.51


[3]
Crystalline Li4Y3Ga4 at its relaxed geometry, computed with GGA-PBE.

Unit cell a=4.5105 b=6.7599 c=8.3233 alpha=113.96 beta=105.72 gamma=90.00
Closest atoms and distances in Å follow each position.
Fractional coordinates of all 11 atoms:
Li 0.3281 0.1377 0.6561  1 Li 2.57, 4 Ga 2.62-2.67
Li 0.6719 0.4815 0.3439  1 Li 2.57, 4 Ga 2.62-2.67
Li 0.6719 0.8623 0.3439  1 Li 2.57, 4 Ga 2.62-2.67
Li 0.3281 0.5185 0.6561  1 Li 2.57, 4 Ga 2.62-2.67
Y 0.1231 0.1231 0.2461  6 Ga 3.15-3.26, 6 Li 3.16-3.24
Y 0.8769 0.8769 0.7539  6 Ga 3.15-3.26, 6 Li 3.16-3.24
Y 0.0000 0.5000 0.0000  6 Ga 3.07-3.12
Ga 0.2145 0.7145 0.4290  6 Li 2.67
Ga 0.7855 0.2855 0.5710  6 Li 2.67
Ga 0.5000 0.8088 0.0000  1 Ga 2.59, 2 Li 2.62
Ga 0.5000 0.1912 0.0000  1 Ga 2.59, 2 Li 2.62


[4]
Crystalline Li2YGa2 at its relaxed geometry, computed with GGA-PBE.

Unit cell a=4.3693 b=3.6267 c=12.8538 alpha=98.11 beta=99.79 gamma=90.00
Closest atoms and distances in Å follow each position.
Fractional coordinates of all 10 atoms:
Li 0.5445 0.2945 0.0889  2 Ga 2.62, 6 Li 2.85-2.87
Li 0.9447 0.1947 0.8895  2 Ga 2.72, 4 Li 2.85
Li 0.4555 0.7055 0.9111  2 Ga 2.62, 6 Li 2.85-2.87
Li 0.0553 0.8053 0.1105  2 Ga 2.72, 4 Li 2.85
Y 0.8273 0.5773 0.6546  10 Ga 3.11-3.18, 2 Li 3.46
Y 0.1727 0.4227 0.3454  10 Ga 3.11-3.18, 2 Li 3.46
Ga 0.7233 0.9733 0.4466  3 Ga 2.56-2.59
Ga 0.2767 0.0267 0.5534  3 Ga 2.56-2.59
Ga 0.3800 0.1300 0.7599  1 Ga 2.59, 4 Li 2.62-2.72
Ga 0.6200 0.8700 0.2401  1 Ga 2.59, 4 Li 2.62-2.72


[5]
Crystalline Li2Y2Ga at its relaxed geometry, computed with GGA-PBE.

Unit cell a=3.5326 b=3.5326 c=9.8783 alpha=79.70 beta=79.70 gamma=90.00
Closest atoms and distances in Å follow each position.
Fractional coordinates of all 5 atoms:
Y 0.4050 0.4050 0.1900  4 Ga 3.09, 4 Li 3.45
Y 0.5950 0.5950 0.8100  4 Ga 3.09, 4 Li 3.45
Ga 0.0000 0.0000 0.0000  8 Y 3.09
Li 0.7500 0.2500 0.5000  4 Li 2.50
Li 0.2500 0.7500 0.5000  4 Li 2.50


[6]
Crystalline Li2YGa2 at its relaxed geometry, computed with GGA-PBE.

Unit cell a=3.6887 b=4.3313 c=12.0129 alpha=90.00 beta=90.00 gamma=90.00
Closest atoms and distances in Å follow each position.
Fractional coordinates of all 10 atoms:
Li 0.2500 0.7500 0.8674  5 Ga 2.53-2.59
Li 0.7500 0.2500 0.1326  5 Ga 2.53-2.59
Li 0.2500 0.2500 0.5131  4 Ga 2.75-2.77, 4 Li 2.86
Li 0.7500 0.7500 0.4869  4 Ga 2.75-2.77, 4 Li 2.86
Y 0.2500 0.7500 0.2408  6 Ga 3.10-3.24, 4 Li 3.13
Y 0.7500 0.2500 0.7592  6 Ga 3.10-3.24, 4 Li 3.13
Ga 0.2500 0.7500 0.6569  5 Li 2.53-2.77
Ga 0.7500 0.2500 0.3431  5 Li 2.53-2.77
Ga 0.2500 0.2499 0.9812  4 Li 2.56-2.59
Ga 0.7500 0.7501 0.0188  4 Li 2.56-2.59


[7]
Crystalline Li3Y3Ga8 at its relaxed geometry, computed with GGA-PBE.

Unit cell a=4.2635 b=8.3268 c=8.3268 alpha=70.03 beta=75.17 gamma=75.17
Closest atoms and distances in Å follow each position.
Fractional coordinates of all 14 atoms:
Li 0.5000 0.0000 0.0000  4 Ga 2.73, 4 Li 2.83
Li 0.0000 0.8053 0.1947  6 Ga 2.58-2.80, 2 Li 2.83
Li 0.0000 0.1947 0.8053  6 Ga 2.58-2.80, 2 Li 2.83
Y 0.5000 0.5000 0.5000  12 Ga 3.19-3.27
Y 0.7970 0.2030 0.2030  10 Ga 3.07-3.41, 4 Li 3.22-3.39
Y 0.2030 0.7970 0.7970  10 Ga 3.07-3.41, 4 Li 3.22-3.39
Ga 0.6394 0.0754 0.6458  3 Ga 2.58-2.78, 3 Li 2.73-2.80
Ga 0.3606 0.9246 0.3542  3 Ga 2.58-2.78, 3 Li 2.73-2.80
Ga 0.6394 0.6458 0.0754  3 Ga 2.58-2.78, 3 Li 2.73-2.80
Ga 0.3606 0.3542 0.9246  3 Ga 2.58-2.78, 3 Li 2.73-2.80
Ga 0.8459 0.7888 0.5194  4 Ga 2.57-2.78, 1 Li 2.58
Ga 0.1541 0.2112 0.4806  4 Ga 2.57-2.78, 1 Li 2.58
Ga 0.8459 0.5194 0.7888  4 Ga 2.57-2.78, 1 Li 2.58
Ga 0.1541 0.4806 0.2112  4 Ga 2.57-2.78, 1 Li 2.58


[8]
Crystalline LiY3Ga at its relaxed geometry, computed with GGA-PBE.

Unit cell a=5.5494 b=5.5494 c=5.5494 alpha=90.00 beta=90.00 gamma=90.00
Closest atoms and distances in Å follow each position.
Fractional coordinates of all 5 atoms:
Y 0.0000 0.5000 0.0000  2 Ga 2.77
Y 0.0000 0.0000 0.5000  2 Ga 2.77
Y 0.5000 0.0000 0.0000  2 Ga 2.77
Ga 0.0000 0.0000 0.0000  6 Y 2.77
Li 0.5000 0.5000 0.5000  12 Y 3.92


[9]
Crystalline Li2Y3Ga9 at its relaxed geometry, computed with GGA-PBE.

Unit cell a=4.2354 b=8.2744 c=8.2744 alpha=72.28 beta=75.17 gamma=75.17
Closest atoms and distances in Å follow each position.
Fractional coordinates of all 14 atoms:
Li 0.5000 0.2947 0.7053  6 Ga 2.57-2.75
Li 0.5000 0.7053 0.2947  6 Ga 2.57-2.75
Y 0.0000 0.0000 0.0000  12 Ga 3.19-3.22, 4 Li 3.57
Y 0.6888 0.3112 0.3112  10 Ga 3.10-3.20, 2 Li 3.12
Y 0.3112 0.6888 0.6888  10 Ga 3.10-3.20, 2 Li 3.12
Ga 0.0000 0.5000 0.5000  4 Ga 2.78, 4 Li 2.92
Ga 0.6592 0.9720 0.7096  4 Ga 2.56-2.73, 1 Li 2.57
Ga 0.3408 0.0280 0.2904  4 Ga 2.56-2.73, 1 Li 2.57
Ga 0.6592 0.7096 0.9720  4 Ga 2.56-2.73, 1 Li 2.57
Ga 0.3408 0.2904 0.0280  4 Ga 2.56-2.73, 1 Li 2.57
Ga 0.8627 0.8597 0.4150  4 Ga 2.57-2.78, 2 Li 2.75
Ga 0.1373 0.1403 0.5850  4 Ga 2.57-2.78, 2 Li 2.75
Ga 0.8627 0.4150 0.8597  4 Ga 2.57-2.78, 2 Li 2.75
Ga 0.1373 0.5850 0.1403  4 Ga 2.57-2.78, 2 Li 2.75


[10]
Crystalline LiY3Ga3 at its relaxed geometry, computed with GGA-PBE.

Unit cell a=4.3737 b=5.8461 c=13.6686 alpha=84.92 beta=80.79 gamma=68.03
Closest atoms and distances in Å follow each position.
Fractional coordinates of all 14 atoms:
Li 0.7568 0.0821 0.4042  4 Ga 2.58-2.85
Li 0.2432 0.9179 0.5958  4 Ga 2.58-2.85
Y 0.5347 0.3105 0.6201  6 Ga 3.06-3.19, 4 Li 3.08-3.30
Y 0.4653 0.6895 0.3799  6 Ga 3.06-3.19, 4 Li 3.08-3.30
Y 0.2578 0.2623 0.2221  6 Ga 3.03-3.19
Y 0.7422 0.7377 0.7779  6 Ga 3.03-3.19
Y 0.3966 0.2833 0.9235  7 Ga 3.07-3.20
Y 0.6034 0.7167 0.0765  7 Ga 3.07-3.20
Ga 0.8765 0.6953 0.5517  1 Ga 2.57, 3 Li 2.58-2.85
Ga 0.1235 0.3047 0.4483  1 Ga 2.57, 3 Li 2.58-2.85
Ga 0.1111 0.8526 0.9252  2 Ga 2.61-2.65
Ga 0.8889 0.1474 0.0748  2 Ga 2.61-2.65
Ga 0.9679 0.8343 0.2299  1 Ga 2.65, 1 Li 2.74
Ga 0.0321 0.1657 0.7701  1 Ga 2.65, 1 Li 2.74


[11]
Crystalline Li2YGa2 at its relaxed geometry, computed with GGA-PBE.

Unit cell a=4.0098 b=4.0098 c=6.7650 alpha=72.76 beta=72.76 gamma=90.00
Closest atoms and distances in Å follow each position.
Fractional coordinates of all 5 atoms:
Y 0.0000 0.0000 0.0000  8 Ga 3.11
Ga 0.3963 0.3963 0.2075  1 Ga 2.55, 4 Li 2.69
Ga 0.6037 0.6037 0.7925  1 Ga 2.55, 4 Li 2.69
Li 0.7500 0.2500 0.5000  4 Ga 2.69, 4 Li 2.84
Li 0.2500 0.7500 0.5000  4 Ga 2.69, 4 Li 2.84


[12]
Crystalline LiY4Ga12 at its relaxed geometry, computed with GGA-PBE.

Unit cell a=7.5162 b=7.5162 c=7.5162 alpha=109.47 beta=109.47 gamma=109.47
Closest atoms and distances in Å follow each position.
Fractional coordinates of all 17 atoms:
Li 0.0000 0.0000 0.0000  6 Ga 2.57
Y 0.0000 0.0000 0.5000  12 Ga 3.07-3.09
Y 0.5000 0.0000 0.0000  12 Ga 3.07-3.09
Y 0.5000 0.5000 0.5000  12 Ga 3.07-3.09
Y 0.0000 0.5000 0.0000  12 Ga 3.07-3.09
Ga 0.0000 0.2960 0.2960  1 Li 2.57, 4 Ga 2.80
Ga 0.0000 0.7040 0.7040  1 Li 2.57, 4 Ga 2.80
Ga 0.7040 0.7040 0.0000  1 Li 2.57, 4 Ga 2.80
Ga 0.2960 0.2960 0.0000  1 Li 2.57, 4 Ga 2.80
Ga 0.2960 0.0000 0.2960  1 Li 2.57, 4 Ga 2.80
Ga 0.7040 0.0000 0.7040  1 Li 2.57, 4 Ga 2.80
Ga 0.5000 0.2500 0.7500  8 Ga 2.80-3.07, 4 Y 3.07
Ga 0.5000 0.7500 0.2500  8 Ga 2.80-3.07, 4 Y 3.07
Ga 0.7500 0.2500 0.5000  8 Ga 2.80-3.07, 4 Y 3.07
Ga 0.2500 0.7500 0.5000  8 Ga 2.80-3.07, 4 Y 3.07
Ga 0.7500 0.5000 0.2500  8 Ga 2.80-3.07, 4 Y 3.07
Ga 0.2500 0.5000 0.7500  8 Ga 2.80-3.07, 4 Y 3.07


no.,total DFT energy (no corrections) (eV/cell),magnetization (μB per cell),energy of formation from the pure elements (meV per atom)
1,-43.5,0.00,-392
2,-29.9,0.00,-129
3,-43.4,0.00,-384
4,-36.6,0.00,-393
5,-20.2,0.00,-93
6,-36.0,0.00,-328
7,-56.6,0.00,-515
8,-23.6,1.20,153
9,-57.8,0.00,-524
10,-68.4,0.00,-541
11,-18.2,0.00,-373
12,-73.1,0.00,-532